1.
The following is a GGA-PBE calculation of a relaxed GdSn2Sb crystal, from the Alexandria database. Values from VASP.

Cell and atoms, written as Quantum ESPRESSO input:
```
&SYSTEM
  ibrav = 0, nat = 4, ntyp = 3
/
ATOMIC_SPECIES
Gd 157.25 Gd.upf
Sn 118.71 Sn.upf
Sb 121.76 Sb.upf
CELL_PARAMETERS angstrom
1.832 1.058 10.762
-1.832 1.058 10.762
0.000 -2.115 10.762
ATOMIC_POSITIONS crystal
Gd 0.000 0.000 0.000
Sn 0.097 0.097 0.097
Sn 0.903 0.903 0.903
Sb 0.500 0.500 0.500
```

* polymorph energy (0 for the lowest one): 667 meV/atom
* SG: No. 166
* formation energy without anion corrections: 188 meV per atom
* electronic total energy: -6.364 eV per atom

2.
The following is a GGA-PBE calculation of a relaxed Tb4DyTl2 crystal, from the Alexandria database. Values from VASP.

Cell and atoms, written as Quantum ESPRESSO input:
```
&SYSTEM
  ibrav = 0, nat = 14, ntyp = 3
/
ATOMIC_SPECIES
Tb 158.93 Tb.upf
Dy 162.50 Dy.upf
Tl 204.38 Tl.upf
CELL_PARAMETERS angstrom
6.927 0.000 0.000
0.000 10.627 0.000
-3.443 0.000 5.999
ATOMIC_POSITIONS crystal
Tb 0.099 0.169 0.049
Tb 0.099 0.331 0.549
Tb 0.380 0.750 0.440
Tb 0.380 0.750 0.940
Tb 0.620 0.250 0.060
Tb 0.620 0.250 0.560
Tb 0.901 0.669 0.451
Tb 0.901 0.831 0.951
Dy 0.000 0.000 0.500
Dy 0.000 0.500 0.000
Tl 0.486 0.518 0.743
Tl 0.486 0.982 0.243
Tl 0.514 0.018 0.757
Tl 0.514 0.482 0.257
```

* polymorph energy (0 for the lowest one): 0 meV/atom
* SG: No. 14
* formation energy: -74 meV/atom
* electronic total energy: -4.054 eV per atom

3.
The following is a GGA-PBE calculation of a relaxed SrCa2W crystal, from the Alexandria database. Values from VASP.

Cell and atoms, written as Quantum ESPRESSO input:
```
&SYSTEM
  ibrav = 0, nat = 4, ntyp = 3
/
ATOMIC_SPECIES
Sr 87.62 Sr.upf
Ca 40.08 Ca.upf
W 183.84 W.upf
CELL_PARAMETERS angstrom
-2.801 2.801 3.952
2.801 -2.801 3.952
2.801 2.801 -3.952
ATOMIC_POSITIONS crystal
Sr 0.000 0.000 0.000
Ca 0.250 0.750 0.500
Ca 0.500 0.500 0.000
W 0.750 0.250 0.500
```

* polymorph energy (0 for the lowest one): 115 meV/atom
* SG: No. 119
* formation energy: 956 meV/atom
* electronic total energy: -3.703 eV per atom

What did we get for total magnetic moment? Answer: 7.43, 0.00, 2.34 μB per cell, in the order shown.